(1)
K2Tl5Hg: relaxed, GGA-PBE.

Cell and atoms, written as CIF:
```
data_K2Tl5Hg
_space_group_name_H-M_alt 'C m c m'
_space_group_IT_number 63
_space_group_name_Hall '-C 2c 2'
_cell_length_a 5.171
_cell_length_b 19.541
_cell_length_c 11.270
_cell_angle_alpha 90.00
_cell_angle_beta 90.00
_cell_angle_gamma 90.00
loop_
_atom_site_label
_atom_site_type_symbol
_atom_site_fract_x
_atom_site_fract_y
_atom_site_fract_z
K1 K 0.000 0.000 0.000
K2 K 0.000 0.195 0.250
Tl1 Tl 0.000 0.192 0.606
Tl2 Tl 0.000 0.352 0.529
Tl3 Tl 0.000 0.399 0.250
Hg1 Hg 0.000 0.447 0.750
```

Output
magnetization = 0.00 μB/cell
DOS(E_F) = 0.61 states/eV per atom

(2)
K2Tl5Hg: relaxed, GGA-PBE.

Cell and atoms, written as CIF:
```
data_K2Tl5Hg
_space_group_name_H-M_alt 'P 4/m m m'
_space_group_IT_number 123
_space_group_name_Hall '-P 4 2'
_cell_length_a 7.471
_cell_length_b 7.471
_cell_length_c 5.742
_cell_angle_alpha 90.00
_cell_angle_beta 90.00
_cell_angle_gamma 90.00
loop_
_atom_site_label
_atom_site_type_symbol
_atom_site_fract_x
_atom_site_fract_y
_atom_site_fract_z
K1 K 0.000 0.500 0.000
Tl1 Tl 0.000 0.000 0.000
Tl2 Tl 0.291 0.291 0.500
Hg1 Hg 0.000 0.000 0.500
```

Output
magnetization = 0.00 μB/cell
DOS(E_F) = 0.62 states/eV per atom

It comes down to (1), which is 149 meV per atom more stable than the next structure.

(1)
KTl4Hg4: relaxed, GGA-PBE.

Cell and atoms, written as CIF:
```
data_KTl4Hg4
_space_group_name_H-M_alt 'P 42/n m c'
_space_group_IT_number 137
_cell_length_a 7.484
_cell_length_b 7.484
_cell_length_c 10.997
_cell_angle_alpha 90.00
_cell_angle_beta 90.00
_cell_angle_gamma 90.00
loop_
_space_group_symop_operation_xyz
'x,y,z'
'-x,-y,-z'
'-y+1/2,x,z+1/2'
'y+1/2,-x,-z+1/2'
'-x+1/2,-y+1/2,z'
'x+1/2,y+1/2,-z'
'y,-x+1/2,z+1/2'
'-y,x+1/2,-z+1/2'
'x+1/2,-y,-z'
'-x+1/2,y,z'
'-y,-x,-z+1/2'
'y,x,z+1/2'
'-x,y+1/2,-z'
'x,-y+1/2,z'
'y+1/2,x+1/2,-z+1/2'
'-y+1/2,-x+1/2,z+1/2'
loop_
_atom_site_label
_atom_site_type_symbol
_atom_site_fract_x
_atom_site_fract_y
_atom_site_fract_z
K1 K 0.250 0.750 0.250
Tl1 Tl 0.023 0.250 0.120
Hg1 Hg 0.050 0.250 0.402
```

Output
magnetization = 0.00 μB/cell
DOS(E_F) = 0.32 states/eV per atom

(2)
KTl4Hg4: relaxed, GGA-PBE.

Cell and atoms, written as CIF:
```
data_KTl4Hg4
_space_group_name_H-M_alt 'I 4/m m m'
_space_group_IT_number 139
_space_group_name_Hall '-I 4 2'
_cell_length_a 11.394
_cell_length_b 11.394
_cell_length_c 4.185
_cell_angle_alpha 90.00
_cell_angle_beta 90.00
_cell_angle_gamma 90.00
loop_
_atom_site_label
_atom_site_type_symbol
_atom_site_fract_x
_atom_site_fract_y
_atom_site_fract_z
K1 K 0.000 0.000 0.000
Tl1 Tl 0.000 0.329 0.000
Hg1 Hg 0.178 0.178 0.500
```

Output
magnetization = 0.00 μB/cell
DOS(E_F) = 0.44 states/eV per atom

It comes down to (2), which is 35 meV per atom more stable than the next structure.

(1)
K3Tl8Hg: relaxed, GGA-PBE.

Cell and atoms, written as CIF:
```
data_K3Tl8Hg
_space_group_name_H-M_alt 'P 3 m 1'
_space_group_IT_number 156
_cell_length_a 6.7355
_cell_length_b 6.7355
_cell_length_c 10.3929
_cell_angle_alpha 90.00
_cell_angle_beta 90.00
_cell_angle_gamma 120.00
loop_
_space_group_symop_operation_xyz
'x,y,z'
'-y,x-y,z'
'-x+y,-x,z'
'-y,-x,z'
'-x+y,y,z'
'x,x-y,z'
loop_
_atom_site_label
_atom_site_type_symbol
_atom_site_fract_x
_atom_site_fract_y
_atom_site_fract_z
K1 K 0.0000 0.0000 0.0000
K2 K 0.0000 0.0000 0.3804
K3 K 0.3333 0.6667 0.8559
Tl1 Tl 0.0108 0.5054 0.1889
Tl2 Tl 0.3290 0.1645 0.6805
Tl3 Tl 0.6667 0.3333 0.4325
Tl4 Tl 0.6667 0.3333 0.9354
Hg1 Hg 0.3333 0.6667 0.5074
```

Output
magnetization = 0.00 μB/cell
DOS(E_F) = 0.42 states/eV per atom

(2)
K3Tl8Hg: relaxed, GGA-PBE.

Cell and atoms, written as CIF:
```
data_K3Tl8Hg
_space_group_name_H-M_alt 'R 3 m'
_space_group_IT_number 160
_space_group_name_Hall 'R 3 -2"'
_cell_length_a 6.6810
_cell_length_b 6.6810
_cell_length_c 32.1974
_cell_angle_alpha 90.00
_cell_angle_beta 90.00
_cell_angle_gamma 120.00
loop_
_atom_site_label
_atom_site_type_symbol
_atom_site_fract_x
_atom_site_fract_y
_atom_site_fract_z
K1 K 0.0000 0.0000 0.0000
K2 K 0.0000 0.0000 0.1265
K3 K 0.0000 0.0000 0.5105
Tl1 Tl 0.0000 0.0000 0.3161
Tl2 Tl 0.0000 0.0000 0.8149
Tl3 Tl 0.9997 0.4998 0.0651
Tl4 Tl 0.1672 0.3344 0.8998
Hg1 Hg 0.0000 0.0000 0.6342
```

Output
magnetization = 0.00 μB/cell
DOS(E_F) = 0.62 states/eV per atom

It comes down to (1), which is 17 meV per atom more stable than the next structure.

(1)
KTl2Hg2: relaxed, GGA-PBE.

Cell and atoms, written as CIF:
```
data_KTl2Hg2
_space_group_name_H-M_alt 'I 4/m m m'
_space_group_IT_number 139
_space_group_name_Hall '-I 4 2'
_cell_length_a 5.684
_cell_length_b 5.684
_cell_length_c 10.887
_cell_angle_alpha 90.00
_cell_angle_beta 90.00
_cell_angle_gamma 90.00
loop_
_atom_site_label
_atom_site_type_symbol
_atom_site_fract_x
_atom_site_fract_y
_atom_site_fract_z
K1 K 0.000 0.000 0.000
Tl1 Tl 0.000 0.000 0.358
Hg1 Hg 0.000 0.500 0.250
```

Output
magnetization = 0.00 μB/cell
DOS(E_F) = 0.65 states/eV per atom

(2)
KTl2Hg2: relaxed, GGA-PBE.

Cell and atoms, written as CIF:
```
data_KTl2Hg2
_space_group_name_H-M_alt 'P 4/m b m'
_space_group_IT_number 127
_space_group_name_Hall '-P 4 2ab'
_cell_length_a 9.336
_cell_length_b 9.336
_cell_length_c 3.610
_cell_angle_alpha 90.00
_cell_angle_beta 90.00
_cell_angle_gamma 90.00
loop_
_atom_site_label
_atom_site_type_symbol
_atom_site_fract_x
_atom_site_fract_y
_atom_site_fract_z
K1 K 0.000 0.000 0.000
Tl1 Tl 0.132 0.368 0.000
Hg1 Hg 0.163 0.663 0.500
```

Output
magnetization = 0.00 μB/cell
DOS(E_F) = 0.48 states/eV per atom

(3)
KTl2Hg2: relaxed, GGA-PBE.

Cell and atoms, written as CIF:
```
data_KTl2Hg2
_space_group_name_H-M_alt 'I 4/m m m'
_space_group_IT_number 139
_space_group_name_Hall '-I 4 2'
_cell_length_a 5.021
_cell_length_b 5.021
_cell_length_c 13.509
_cell_angle_alpha 90.00
_cell_angle_beta 90.00
_cell_angle_gamma 90.00
loop_
_atom_site_label
_atom_site_type_symbol
_atom_site_fract_x
_atom_site_fract_y
_atom_site_fract_z
K1 K 0.000 0.000 0.000
Tl1 Tl 0.000 0.500 0.250
Hg1 Hg 0.000 0.000 0.392
```

Output
magnetization = 0.00 μB/cell
DOS(E_F) = 0.53 states/eV per atom

It comes down to (3), which is 9 meV per atom more stable than the next structure.

(1)
KTl2Hg2: relaxed, GGA-PBE.

Cell and atoms, written as CIF:
```
data_KTl2Hg2
_space_group_name_H-M_alt 'P 4/m b m'
_space_group_IT_number 127
_space_group_name_Hall '-P 4 2ab'
_cell_length_a 9.158
_cell_length_b 9.158
_cell_length_c 3.788
_cell_angle_alpha 90.00
_cell_angle_beta 90.00
_cell_angle_gamma 90.00
loop_
_atom_site_label
_atom_site_type_symbol
_atom_site_fract_x
_atom_site_fract_y
_atom_site_fract_z
K1 K 0.000 0.000 0.000
Tl1 Tl 0.149 0.351 0.500
Hg1 Hg 0.144 0.644 0.000
```

Output
magnetization = 0.00 μB/cell
DOS(E_F) = 0.48 states/eV per atom

(2)
KTl2Hg2: relaxed, GGA-PBE.

Cell and atoms, written as CIF:
```
data_KTl2Hg2
_space_group_name_H-M_alt 'C 1 2/m 1'
_space_group_IT_number 12
_cell_length_a 9.564
_cell_length_b 5.484
_cell_length_c 6.714
_cell_angle_alpha 90.00
_cell_angle_beta 118.86
_cell_angle_gamma 90.00
loop_
_space_group_symop_operation_xyz
'x,y,z'
'-x,-y,-z'
'-x,y,-z'
'x,-y,z'
'x+1/2,y+1/2,z'
'-x+1/2,-y+1/2,-z'
'-x+1/2,y+1/2,-z'
'x+1/2,-y+1/2,z'
loop_
_atom_site_label
_atom_site_type_symbol
_atom_site_fract_x
_atom_site_fract_y
_atom_site_fract_z
K1 K 0.000 0.000 0.000
Tl1 Tl 0.220 0.000 0.659
Hg1 Hg 0.088 0.500 0.762
```

Output
magnetization = 0.00 μB/cell
DOS(E_F) = 0.37 states/eV per atom

It comes down to (2), which is 22 meV per atom more stable than the next structure.

(1)
KTl4Hg: relaxed, GGA-PBE.

Cell and atoms, written as CIF:
```
data_KTl4Hg
_space_group_name_H-M_alt 'C 1 2/m 1'
_space_group_IT_number 12
_cell_length_a 10.189
_cell_length_b 10.181
_cell_length_c 9.621
_cell_angle_alpha 90.00
_cell_angle_beta 121.90
_cell_angle_gamma 90.00
loop_
_space_group_symop_operation_xyz
'x,y,z'
'-x,-y,-z'
'-x,y,-z'
'x,-y,z'
'x+1/2,y+1/2,z'
'-x+1/2,-y+1/2,-z'
'-x+1/2,y+1/2,-z'
'x+1/2,-y+1/2,z'
loop_
_atom_site_label
_atom_site_type_symbol
_atom_site_fract_x
_atom_site_fract_y
_atom_site_fract_z
K1 K 0.250 0.250 0.000
Tl1 Tl 0.001 0.000 0.309
Tl2 Tl 0.154 0.346 0.309
Tl3 Tl 0.191 0.500 0.690
Hg1 Hg 0.000 0.250 0.500
```

Output
magnetization = 0.00 μB/cell
DOS(E_F) = 0.47 states/eV per atom

(2)
KTl4Hg: relaxed, GGA-PBE.

Cell and atoms, written as CIF:
```
data_KTl4Hg
_space_group_name_H-M_alt 'F -4 3 m'
_space_group_IT_number 216
_space_group_name_Hall 'F -4 2 3'
_cell_length_a 9.310
_cell_length_b 9.310
_cell_length_c 9.310
_cell_angle_alpha 90.00
_cell_angle_beta 90.00
_cell_angle_gamma 90.00
loop_
_atom_site_label
_atom_site_type_symbol
_atom_site_fract_x
_atom_site_fract_y
_atom_site_fract_z
K1 K 0.000 0.000 0.000
Tl1 Tl 0.125 0.125 0.375
Hg1 Hg 0.250 0.250 0.750
```

Output
magnetization = 0.00 μB/cell
DOS(E_F) = 0.43 states/eV per atom

(3)
KTl4Hg: relaxed, GGA-PBE.

Cell and atoms, written as CIF:
```
data_KTl4Hg
_space_group_name_H-M_alt 'C m c m'
_space_group_IT_number 63
_space_group_name_Hall '-C 2c 2'
_cell_length_a 5.019
_cell_length_b 18.931
_cell_length_c 8.216
_cell_angle_alpha 90.00
_cell_angle_beta 90.00
_cell_angle_gamma 90.00
loop_
_atom_site_label
_atom_site_type_symbol
_atom_site_fract_x
_atom_site_fract_y
_atom_site_fract_z
K1 K 0.000 0.130 0.250
Tl1 Tl 0.000 0.058 0.750
Tl2 Tl 0.000 0.328 0.049
Tl3 Tl 0.000 0.500 0.000
Hg1 Hg 0.000 0.226 0.750
```

Output
magnetization = 0.00 μB/cell
DOS(E_F) = 0.41 states/eV per atom

It comes down to (3), which is 41 meV per atom more stable than the next structure.

(1)
KTl12Hg7: relaxed, GGA-PBE.

Cell and atoms, written as CIF:
```
data_KTl12Hg7
_space_group_name_H-M_alt 'R -3'
_space_group_IT_number 148
_space_group_name_Hall '-R 3'
_cell_length_a 12.7010
_cell_length_b 12.7010
_cell_length_c 13.5359
_cell_angle_alpha 90.00
_cell_angle_beta 90.00
_cell_angle_gamma 120.00
loop_
_atom_site_label
_atom_site_type_symbol
_atom_site_fract_x
_atom_site_fract_y
_atom_site_fract_z
K1 K 0.0000 0.0000 0.0000
Tl1 Tl 0.0277 0.5866 0.7200
Tl2 Tl 0.0569 0.2315 0.3946
Hg1 Hg 0.0000 0.0000 0.5000
Hg2 Hg 0.0815 0.8938 0.8026
```

Output
magnetization = 0.00 μB/cell
DOS(E_F) = 0.49 states/eV per atom

(2)
KTl12Hg7: relaxed, GGA-PBE.

Cell and atoms, written as CIF:
```
data_KTl12Hg7
_space_group_name_H-M_alt 'R -3'
_space_group_IT_number 148
_space_group_name_Hall '-R 3'
_cell_length_a 15.6870
_cell_length_b 15.6870
_cell_length_c 8.8326
_cell_angle_alpha 90.00
_cell_angle_beta 90.00
_cell_angle_gamma 120.00
loop_
_atom_site_label
_atom_site_type_symbol
_atom_site_fract_x
_atom_site_fract_y
_atom_site_fract_z
K1 K 0.0000 0.0000 0.0000
Tl1 Tl 0.0147 0.2404 0.8315
Tl2 Tl 0.0838 0.5565 0.1683
Hg1 Hg 0.0000 0.0000 0.5000
Hg2 Hg 0.0062 0.2009 0.1849
```

Output
magnetization = 0.00 μB/cell
DOS(E_F) = 0.41 states/eV per atom

It comes down to (2), which is 45 meV per atom more stable than the next structure.

(1)
K4TlHg2: relaxed, GGA-PBE.

Cell and atoms, written as CIF:
```
data_K4TlHg2
_space_group_name_H-M_alt 'I 4/m m m'
_space_group_IT_number 139
_space_group_name_Hall '-I 4 2'
_cell_length_a 6.732
_cell_length_b 6.732
_cell_length_c 16.929
_cell_angle_alpha 90.00
_cell_angle_beta 90.00
_cell_angle_gamma 90.00
loop_
_atom_site_label
_atom_site_type_symbol
_atom_site_fract_x
_atom_site_fract_y
_atom_site_fract_z
K1 K 0.000 0.000 0.208
K2 K 0.000 0.500 0.000
Tl1 Tl 0.000 0.000 0.000
Hg1 Hg 0.000 0.000 0.410
```

Output
magnetization = 0.00 μB/cell
DOS(E_F) = 0.58 states/eV per atom

(2)
K4TlHg2: relaxed, GGA-PBE.

Cell and atoms, written as CIF:
```
data_K4TlHg2
_space_group_name_H-M_alt 'P -1'
_space_group_IT_number 2
_cell_length_a 7.591
_cell_length_b 8.471
_cell_length_c 10.987
_cell_angle_alpha 91.00
_cell_angle_beta 108.36
_cell_angle_gamma 115.98
loop_
_space_group_symop_operation_xyz
'x,y,z'
'-x,-y,-z'
loop_
_atom_site_label
_atom_site_type_symbol
_atom_site_fract_x
_atom_site_fract_y
_atom_site_fract_z
K1 K 0.171 0.234 0.144
K2 K 0.220 0.734 0.651
K3 K 0.278 0.770 0.286
K4 K 0.291 0.276 0.798
Tl1 Tl 0.196 0.101 0.458
Hg1 Hg 0.196 0.593 0.960
Hg2 Hg 0.500 0.000 0.000
Hg3 Hg 0.500 0.500 0.500
```

Output
magnetization = 0.00 μB/cell
DOS(E_F) = 0.61 states/eV per atom

It comes down to (2), which is 129 meV per atom more stable than the next structure.

(1)
K2V2Hg: relaxed, GGA-PBE.

Cell and atoms, written as CIF:
```
data_K2V2Hg
_space_group_name_H-M_alt 'P 4/m b m'
_space_group_IT_number 127
_space_group_name_Hall '-P 4 2ab'
_cell_length_a 10.262
_cell_length_b 10.262
_cell_length_c 3.196
_cell_angle_alpha 90.00
_cell_angle_beta 90.00
_cell_angle_gamma 90.00
loop_
_atom_site_label
_atom_site_type_symbol
_atom_site_fract_x
_atom_site_fract_y
_atom_site_fract_z
K1 K 0.217 0.283 0.000
V1 V 0.062 0.562 0.500
Hg1 Hg 0.000 0.000 0.500
```

Output
magnetization = 0.00 μB/cell
DOS(E_F) = 0.98 states/eV per atom

(2)
K2V2Hg: relaxed, GGA-PBE.

Cell and atoms, written as CIF:
```
data_K2V2Hg
_space_group_name_H-M_alt 'I 4/m m m'
_space_group_IT_number 139
_space_group_name_Hall '-I 4 2'
_cell_length_a 4.236
_cell_length_b 4.236
_cell_length_c 14.865
_cell_angle_alpha 90.00
_cell_angle_beta 90.00
_cell_angle_gamma 90.00
loop_
_atom_site_label
_atom_site_type_symbol
_atom_site_fract_x
_atom_site_fract_y
_atom_site_fract_z
K1 K 0.000 0.500 0.250
V1 V 0.000 0.000 0.061
Hg1 Hg 0.000 0.000 0.500
```

Output
magnetization = 0.00 μB/cell
DOS(E_F) = 0.39 states/eV per atom

It comes down to (1), which is 115 meV per atom more stable than the next structure.

(1)
KVHg2: relaxed, GGA-PBE.

Cell and atoms, written as CIF:
```
data_KVHg2
_space_group_name_H-M_alt 'F m -3 m'
_space_group_IT_number 225
_space_group_name_Hall '-F 4 2 3'
_cell_length_a 7.484
_cell_length_b 7.484
_cell_length_c 7.484
_cell_angle_alpha 90.00
_cell_angle_beta 90.00
_cell_angle_gamma 90.00
loop_
_atom_site_label
_atom_site_type_symbol
_atom_site_fract_x
_atom_site_fract_y
_atom_site_fract_z
K1 K 0.000 0.000 0.000
V1 V 0.000 0.000 0.500
Hg1 Hg 0.250 0.250 0.250
```

Output
magnetization = 16.26 μB/cell
DOS(E_F) = 0.91 states/eV per atom

(2)
KVHg2: relaxed, GGA-PBE.

Cell and atoms, written as CIF:
```
data_KVHg2
_space_group_name_H-M_alt 'I -4 2 d'
_space_group_IT_number 122
_space_group_name_Hall 'I -4 2bw'
_cell_length_a 5.606
_cell_length_b 5.606
_cell_length_c 18.796
_cell_angle_alpha 90.00
_cell_angle_beta 90.00
_cell_angle_gamma 90.00
loop_
_atom_site_label
_atom_site_type_symbol
_atom_site_fract_x
_atom_site_fract_y
_atom_site_fract_z
K1 K 0.000 0.000 0.000
V1 V 0.000 0.000 0.500
Hg1 Hg 0.094 0.250 0.625
```

Output
magnetization = 16.39 μB/cell
DOS(E_F) = 0.99 states/eV per atom

It comes down to (1), which is 45 meV per atom more stable than the next structure.